# 1
Material: NaSbAu
Method: DFT, PBE-GGA
State: optimized geometry

```
NaSbAu
1.0
4.773 0.000 0.000
-2.387 4.134 0.000
0.000 0.000 3.590
Na Sb Au
1 1 1
direct
0.000 0.000 0.000 Na
0.667 0.333 0.500 Sb
0.333 0.667 0.500 Au
```

Crystal system = hexagonal
DFT total energy = -3.27 eV per atom


# 2
Material: Tc2Au
Method: DFT, PBE-GGA
State: optimized geometry

```
Tc2Au
1.0
0.000 3.645 3.645
3.645 0.000 3.645
3.645 3.645 0.000
Tc Au
4 2
direct
0.000 0.000 0.000 Tc
0.000 0.000 0.500 Tc
0.000 0.500 0.000 Tc
0.500 0.000 0.000 Tc
0.375 0.375 0.375 Au
0.625 0.625 0.625 Au
```

Energy relative to the elements = 536.8 meV per atom
Total moment = 0.01 μB/cell
Crystal system = cubic
DFT total energy = -7.46 eV per atom
Offset from the most stable computed form = 0 meV/atom


# 3
Material: Rb3SmBr6
Method: DFT, PBE-GGA
State: optimized geometry

```
Rb3SmBr6
1.0
4.279 2.470 6.654
-4.279 2.470 6.654
0.000 -4.941 6.654
Rb Sm Br
3 1 6
direct
0.000 0.000 0.000 Rb
0.277 0.277 0.277 Rb
0.723 0.723 0.723 Rb
0.500 0.500 0.500 Sm
0.166 0.706 0.378 Br
0.294 0.622 0.834 Br
0.378 0.166 0.706 Br
0.622 0.834 0.294 Br
0.706 0.378 0.166 Br
0.834 0.294 0.622 Br
```

Total moment = 0.00 μB/cell
Crystal system = trigonal
DFT total energy = -3.59 eV per atom
Offset from the most stable computed form = 9 meV/atom


# 4
Material: LaInHg2
Method: DFT, PBE-GGA
State: optimized geometry

```
LaInHg2
1.0
5.284 0.000 0.000
0.000 5.298 0.000
0.000 0.000 7.479
La In Hg
2 2 4
direct
0.000 0.000 0.000 La
0.500 0.500 0.500 La
0.000 0.000 0.500 In
0.500 0.500 0.000 In
0.000 0.500 0.250 Hg
0.000 0.500 0.750 Hg
0.500 0.000 0.250 Hg
0.500 0.000 0.750 Hg
```

Total moment = 0.00 μB/cell
Crystal system = orthorhombic
DFT total energy = -2.54 eV per atom
Offset from the most stable computed form = 1 meV/atom


# 5
Material: LaSm3Se4
Method: DFT, PBE-GGA
State: optimized geometry

```
LaSm3Se4
1.0
8.463 0.000 0.000
0.000 11.886 0.000
0.000 0.000 4.173
La Sm Se
2 6 8
direct
0.000 0.000 0.000 La
0.500 0.500 0.000 La
0.000 0.500 0.000 Sm
0.250 0.250 0.500 Sm
0.250 0.750 0.500 Sm
0.500 0.000 0.000 Sm
0.750 0.250 0.500 Sm
0.750 0.750 0.500 Sm
0.000 0.253 0.000 Se
0.000 0.747 0.000 Se
0.243 0.500 0.500 Se
0.257 0.000 0.500 Se
0.500 0.247 0.000 Se
0.500 0.753 0.000 Se
0.743 0.000 0.500 Se
0.757 0.500 0.500 Se
```

Total moment = 0.01 μB/cell
Crystal system = orthorhombic
DFT total energy = -5.99 eV per atom


# 6
Material: GdTlZnSe3
Method: DFT, PBE-GGA
State: optimized geometry

```
GdTlZnSe3
1.0
14.968 0.000 0.000
0.000 4.149 0.000
0.000 0.000 11.172
Gd Tl Zn Se
4 4 4 12
direct
0.025 0.250 0.157 Gd
0.475 0.750 0.657 Gd
0.525 0.250 0.343 Gd
0.975 0.750 0.843 Gd
0.242 0.250 0.464 Tl
0.258 0.750 0.964 Tl
0.742 0.250 0.036 Tl
0.758 0.750 0.536 Tl
0.018 0.750 0.401 Zn
0.482 0.250 0.901 Zn
0.518 0.750 0.099 Zn
0.982 0.250 0.599 Zn
0.080 0.750 0.613 Se
0.097 0.250 0.921 Se
0.140 0.750 0.253 Se
0.360 0.250 0.753 Se
0.403 0.750 0.421 Se
0.420 0.250 0.113 Se
0.580 0.750 0.887 Se
0.597 0.250 0.579 Se
0.640 0.750 0.247 Se
0.860 0.250 0.747 Se
0.903 0.750 0.079 Se
0.920 0.250 0.387 Se
```

Total moment = 0.01 μB/cell
Crystal system = orthorhombic
DFT total energy = -4.25 eV per atom
Offset from the most stable computed form = 16 meV/atom